First-principles (GGA+U) data for an optimized crystal structure of Pm2AlMoO6, as listed in Alexandria.

a = 5.469 Å, b = 5.682 Å, c = 7.845 Å
α = 90.00°, β = 90.21°, γ = 90.00°
Site moments in Bohr magnetons follow the coordinates.
Fractional positions:
Al (0.500, 0.000, 0.500)  0.00
Pm (0.485, 0.444, 0.250)  0.01
Mo (0.000, 0.500, 0.500)  2.64
O (0.400, 0.966, 0.735)  0.03
O (0.215, 0.189, 0.450)  0.03
O (0.600, 0.034, 0.265)  0.03
O (0.187, 0.217, 0.056)  0.03
O (0.285, 0.689, 0.050)  0.03
O (0.813, 0.783, 0.944)  0.03
Pm (0.515, 0.556, 0.750)  0.01
Al (0.000, 0.500, 0.000)  0.00
O (0.313, 0.717, 0.444)  0.03
O (0.785, 0.811, 0.550)  0.03
Mo (0.500, 0.000, 0.000)  2.64
Pm (0.985, 0.056, 0.750)  0.01
O (0.715, 0.311, 0.950)  0.03
O (0.900, 0.534, 0.235)  0.03
O (0.100, 0.466, 0.765)  0.03
O (0.687, 0.283, 0.556)  0.03
Pm (0.015, 0.944, 0.250)  0.01

Raw total energy (eV/atom): -7.9128
V (Å³ per cell): 244
Symmetry: P2_1/c, No. 14
Fermi-level density of states (states/eV per atom): 0.000